13
Lattice="-3.031 -2.633 0.293 0.514 -1.021 -3.859 7.654 -8.448 3.254" Properties=species:S:1:pos:R:3 comment="Ba2W3O8, relaxed, DFT GGA+U" volume_a3_per_cell=192.1 energy_ev_per_atom=-7.1347 space_group="P-4m2, No. 115" pbc="T T T"
Ba 4.039 -7.674 0.469
Ba 1.098 -4.428 -0.781
W 6.802 -7.507 2.891
W 3.827 -4.224 1.627
W 0.852 -0.940 0.362
O 6.825 -7.760 0.862
O 5.178 -8.704 2.992
O 2.321 -5.551 1.777
O 5.088 -5.616 2.163
O 1.217 -1.570 -1.522
O -0.430 -2.515 0.608
O 2.566 -2.832 1.091
O 4.074 -4.724 -0.307


11
Lattice="-8.123 -0.226 -2.870 -1.256 -2.810 3.775 3.215 4.420 3.491" Properties=species:S:1:pos:R:3 comment="FeSe2O8, relaxed, DFT GGA+U" volume_a3_per_cell=201.5 energy_ev_per_atom=-5.3056 space_group="C2/m, No. 12" pbc="T T T"
Fe 0.000 0.000 0.000
Se -1.181 -0.096 3.351
Se -4.982 1.480 1.045
O -3.804 2.751 1.320
O 1.991 2.912 3.368
O -2.359 -1.366 3.075
O -4.566 0.366 -0.045
O -8.154 -1.527 1.028
O -0.688 0.561 1.904
O -5.475 0.823 2.491
O -1.597 1.019 4.440